Here is a relaxed LiAc2TmS5 crystal from Alexandria. Energies are from PBE.

Results
symmetry: Cmc2_1
E_form (uncorrected): -2.020 eV/atom
VASP energy: -5.9353 eV/atom

Cell lengths 4.127, 8.728, 12.204 Å; angles 90.00, 90.00, 103.67 degrees
Atoms (fractional coordinates):
Li1 0.524 0.047 0.977
Li2 0.476 0.953 0.477
Ac1 0.873 0.747 0.801
Ac2 0.109 0.217 0.686
Ac3 0.127 0.253 0.301
Ac4 0.891 0.783 0.186
Tm1 0.802 0.604 0.505
Tm2 0.198 0.396 0.005
S1 0.359 0.719 0.000
S2 0.693 0.385 0.857
S3 0.499 0.999 0.783
S4 0.287 0.575 0.655
S5 0.950 0.900 0.561
S6 0.641 0.281 0.500
S7 0.307 0.615 0.357
S8 0.501 0.001 0.283
S9 0.713 0.425 0.155
S10 0.050 0.100 0.061


Here is a relaxed LiAcTmS3 crystal from Alexandria. Energies are from PBE.

Results
symmetry: P2_1/m
E_form (uncorrected): -1.856 eV/atom
DOS at the Fermi energy: 2.4 states/eV/f.u.
VASP energy: -5.6683 eV/atom

Cell lengths 3.951, 8.245, 8.664 Å; angles 104.75, 90.00, 90.00 degrees
Atoms (fractional coordinates):
Li1 0.250 0.089 0.588
Li2 0.750 0.911 0.412
Ac1 0.250 0.194 0.229
Ac2 0.750 0.806 0.771
Tm1 0.250 0.666 0.157
Tm2 0.750 0.334 0.843
S1 0.750 0.894 0.135
S2 0.250 0.106 0.865
S3 0.250 0.787 0.487
S4 0.750 0.213 0.513
S5 0.750 0.446 0.169
S6 0.250 0.554 0.831


Here is a relaxed LiAcUS3 crystal from Alexandria. Energies are from PBE.

Results
symmetry: P2_1/m
E_form (uncorrected): -1.556 eV/atom
DOS at the Fermi energy: 6.2 states/eV/f.u.
VASP energy: -6.5043 eV/atom

Cell lengths 3.950, 8.408, 8.718 Å; angles 105.77, 90.00, 90.00 degrees
Site moments in Bohr magnetons follow the coordinates.
Atoms (fractional coordinates):
Li1 0.250 0.089 0.591  0.01
Li2 0.750 0.911 0.409  0.01
Ac1 0.250 0.187 0.230  0.04
Ac2 0.750 0.813 0.770  0.04
U1 0.250 0.653 0.146  2.76
U2 0.750 0.347 0.854  2.76
S1 0.750 0.893 0.132  -0.03
S2 0.250 0.107 0.868  -0.03
S3 0.250 0.792 0.485  -0.01
S4 0.750 0.208 0.515  -0.01
S5 0.750 0.437 0.187  -0.05
S6 0.250 0.563 0.813  -0.05


Here is a relaxed LiAcUS4 crystal from Alexandria. Energies are from PBE.

Results
symmetry: P2_1/m
E_form (uncorrected): -1.559 eV/atom
DOS at the Fermi energy: 5.1 states/eV/f.u.
VASP energy: -6.3900 eV/atom

Cell lengths 6.476, 6.434, 8.112 Å; angles 90.00, 108.01, 90.00 degrees
Site moments in Bohr magnetons follow the coordinates.
Atoms (fractional coordinates):
Li1 0.244 0.750 0.322  0.00
Li2 0.756 0.250 0.678  0.00
Ac1 0.754 0.750 0.942  0.01
Ac2 0.246 0.250 0.058  0.01
U1 0.783 0.750 0.447  2.07
U2 0.217 0.250 0.553  2.07
S1 0.018 0.509 0.728  -0.06
S2 0.982 0.009 0.272  -0.06
S3 0.982 0.491 0.272  -0.06
S4 0.018 0.991 0.728  -0.06
S5 0.443 0.750 0.133  -0.03
S6 0.557 0.250 0.867  -0.03
S7 0.472 0.750 0.597  -0.05
S8 0.528 0.250 0.403  -0.05


Here is a relaxed Li2Ac2US6 crystal from Alexandria. Energies are from PBE.

Results
symmetry: R-3m
E_form (uncorrected): -1.440 eV/atom
DOS at the Fermi energy: 5.6 states/eV/f.u.
VASP energy: -5.8130 eV/atom

Cell lengths 7.249, 7.249, 7.800 Å; angles 62.31, 62.31, 60.00 degrees
Site moments in Bohr magnetons follow the coordinates.
Atoms (fractional coordinates):
Li1 0.428 0.428 0.717  0.00
Li2 0.572 0.572 0.283  0.00
Ac1 0.799 0.799 0.604  0.02
Ac2 0.201 0.201 0.396  0.02
U1 0.000 0.000 0.000  1.95
S1 0.752 0.752 0.277  -0.03
S2 0.219 0.752 0.277  -0.03
S3 0.752 0.219 0.277  -0.03
S4 0.248 0.781 0.723  -0.03
S5 0.781 0.248 0.723  -0.03
S6 0.248 0.248 0.723  -0.03


Here is a relaxed Li2AcUS4 crystal from Alexandria. Energies are from PBE.

Results
symmetry: P2/m
E_form (uncorrected): -1.518 eV/atom
DOS at the Fermi energy: 6.6 states/eV/f.u.
VASP energy: -5.9847 eV/atom

Cell lengths 4.080, 6.700, 7.172 Å; angles 68.69, 90.00, 90.00 degrees
Site moments in Bohr magnetons follow the coordinates.
Atoms (fractional coordinates):
Li1 0.000 0.000 0.000  0.00
Li2 0.500 0.000 0.500  0.00
Ac1 0.500 0.500 0.000  0.07
U1 0.000 0.500 0.500  2.59
S1 0.000 0.763 0.723  -0.02
S2 0.000 0.237 0.277  -0.02
S3 0.500 0.755 0.263  -0.04
S4 0.500 0.245 0.737  -0.04


Here is a relaxed LiAc2VS6 crystal from Alexandria. Energies are from PBE.

Results
symmetry: P2_1/c
E_form (uncorrected): -1.509 eV/atom
DOS at the Fermi energy: 0.3 states/eV/f.u.
VASP energy: -5.9107 eV/atom

Cell lengths 6.489, 7.209, 9.399 Å; angles 90.00, 89.99, 90.00 degrees
Atoms (fractional coordinates):
Li1 0.500 0.000 0.000
Li2 0.000 0.500 0.500
Ac1 0.031 0.907 0.249
Ac2 0.531 0.593 0.749
Ac3 0.969 0.093 0.751
Ac4 0.469 0.407 0.251
V1 0.500 0.000 0.500
V2 0.000 0.500 0.000
S1 0.304 0.679 0.041
S2 0.804 0.821 0.541
S3 0.696 0.321 0.959
S4 0.196 0.179 0.459
S5 0.323 0.710 0.459
S6 0.823 0.790 0.959
S7 0.677 0.290 0.541
S8 0.177 0.210 0.041
S9 0.922 0.508 0.242
S10 0.422 0.992 0.742
S11 0.078 0.492 0.758
S12 0.578 0.008 0.258


Here is a relaxed LiAcY2S4 crystal from Alexandria. Energies are from PBE.

Results
symmetry: Cmcm
E_form (uncorrected): -1.871 eV/atom
DOS at the Fermi energy: 4.0 states/eV/f.u.
VASP energy: -6.3038 eV/atom

Cell lengths 3.965, 6.931, 13.566 Å; angles 90.00, 90.00, 106.62 degrees
Atoms (fractional coordinates):
Li1 0.852 0.704 0.750
Li2 0.148 0.296 0.250
Ac1 0.118 0.236 0.750
Ac2 0.882 0.764 0.250
Y1 0.369 0.739 0.555
Y2 0.631 0.261 0.055
Y3 0.631 0.261 0.445
Y4 0.369 0.739 0.945
S1 0.268 0.535 0.121
S2 0.732 0.465 0.621
S3 0.732 0.465 0.879
S4 0.268 0.535 0.379
S5 0.000 0.000 0.500
S6 0.000 0.000 0.000
S7 0.448 0.895 0.750
S8 0.552 0.105 0.250


Here is a relaxed Li3Ac2YS6 crystal from Alexandria. Energies are from PBE.

Results
symmetry: C2/m
E_form (uncorrected): -1.800 eV/atom
DOS at the Fermi energy: 0.0 states/eV/f.u.
VASP energy: -5.5653 eV/atom

Cell lengths 7.370, 7.370, 6.566 Å; angles 98.66, 98.66, 121.94 degrees
Atoms (fractional coordinates):
Li1 0.125 0.875 0.500
Li2 0.875 0.125 0.500
Li3 0.500 0.500 0.500
Ac1 0.330 0.670 0.000
Ac2 0.670 0.330 0.000
Y1 0.000 0.000 0.000
S1 0.927 0.621 0.745
S2 0.753 0.753 0.252
S3 0.073 0.379 0.255
S4 0.621 0.927 0.745
S5 0.247 0.247 0.748
S6 0.379 0.073 0.255


Here is a relaxed Li2AcYS4 crystal from Alexandria. Energies are from PBE.

Results
symmetry: P2/m
E_form (uncorrected): -1.787 eV/atom
DOS at the Fermi energy: 0.0 states/eV/f.u.
VASP energy: -5.6510 eV/atom

Cell lengths 4.098, 6.678, 7.158 Å; angles 68.69, 90.00, 90.00 degrees
Atoms (fractional coordinates):
Li1 0.000 0.000 0.000
Li2 0.500 0.000 0.500
Ac1 0.000 0.500 0.500
Y1 0.500 0.500 0.000
S1 0.000 0.753 0.763
S2 0.000 0.247 0.237
S3 0.500 0.759 0.225
S4 0.500 0.241 0.775


Here is a relaxed LiAc2YS5 crystal from Alexandria. Energies are from PBE.

Results
symmetry: Cmc2_1
E_form (uncorrected): -2.020 eV/atom
VASP energy: -6.1572 eV/atom

Cell lengths 4.145, 8.753, 12.254 Å; angles 90.00, 90.00, 103.70 degrees
Atoms (fractional coordinates):
Li1 0.518 0.037 0.979
Li2 0.482 0.963 0.479
Ac1 0.875 0.750 0.801
Ac2 0.110 0.219 0.686
Ac3 0.125 0.250 0.301
Ac4 0.890 0.781 0.186
Y1 0.803 0.605 0.504
Y2 0.197 0.395 0.004
S1 0.360 0.721 0.000
S2 0.694 0.387 0.853
S3 0.500 0.001 0.784
S4 0.289 0.577 0.656
S5 0.952 0.905 0.562
S6 0.640 0.279 0.500
S7 0.306 0.613 0.353
S8 0.500 0.999 0.284
S9 0.711 0.423 0.156
S10 0.048 0.095 0.062


Here is a relaxed Li2Ac2ZrS6 crystal from Alexandria. Energies are from PBE.

Results
symmetry: R-3m
E_form (uncorrected): -1.505 eV/atom
VASP energy: -5.6285 eV/atom

Cell lengths 7.191, 7.191, 7.466 Å; angles 61.21, 61.21, 60.00 degrees
Atoms (fractional coordinates):
Li1 0.427 0.427 0.719
Li2 0.573 0.573 0.281
Ac1 0.793 0.793 0.621
Ac2 0.207 0.207 0.379
Zr1 0.000 0.000 0.000
S1 0.755 0.755 0.267
S2 0.223 0.755 0.267
S3 0.755 0.223 0.267
S4 0.245 0.777 0.733
S5 0.777 0.245 0.733
S6 0.245 0.245 0.733


Look up the VASP energy of the second one.
-5.6683 eV/atom